(1)
VASP calculation (PBE) on crystalline La2VPt at its relaxed geometry.

The structure in POSCAR format:
```
La2VPt
1.0
8.1166 0.0000 0.0000
0.0000 8.1166 0.0000
4.0583 4.0583 3.2026
La V Pt
4 2 2
direct
0.1019 0.6250 0.2500 La
0.6481 0.1250 0.2500 La
0.8750 0.8981 0.7500 La
0.3750 0.3519 0.7500 La
0.2500 0.7500 0.5000 V
0.5000 0.5000 0.0000 V
0.0000 0.0000 0.0000 Pt
0.7500 0.2500 0.5000 Pt
```

Properties
- space group = I-42d (122)
- energy relative to the elements (eV per formula unit) = -0.02

(2)
VASP calculation (PBE) on crystalline NdTmRh2 at its relaxed geometry.

The structure in POSCAR format:
```
NdTmRh2
1.0
-0.6893 -1.8481 2.7793
-1.7935 -2.1883 -1.9000
5.8968 -3.8691 -1.1102
Nd Tm Rh
1 1 2
direct
0.5000 0.5000 0.5000 Nd
0.5000 0.5000 0.0000 Tm
0.0000 0.0000 0.7678 Rh
0.0000 0.0000 0.2322 Rh
```

Properties
- space group = P4/mmm (123)
- energy relative to the elements (eV per formula unit) = -3.13

The highest energy relative to the elements belongs to which entry?
La2VPt

Copy entry 1 word for word.
VASP calculation (PBE) on crystalline La2VPt at its relaxed geometry.

The structure in POSCAR format:
```
La2VPt
1.0
8.1166 0.0000 0.0000
0.0000 8.1166 0.0000
4.0583 4.0583 3.2026
La V Pt
4 2 2
direct
0.1019 0.6250 0.2500 La
0.6481 0.1250 0.2500 La
0.8750 0.8981 0.7500 La
0.3750 0.3519 0.7500 La
0.2500 0.7500 0.5000 V
0.5000 0.5000 0.0000 V
0.0000 0.0000 0.0000 Pt
0.7500 0.2500 0.5000 Pt
```

Properties
- space group = I-42d (122)
- energy relative to the elements (eV per formula unit) = -0.02

Which formula does entry 2 have?
NdTmRh2